Entry 1:
This record from Alexandria describes a relaxed structure of HPb2O2. The functional is PBE.

Cell lengths 6.9689, 6.9689, 6.9426 Å; angles 114.12, 114.12, 40.77 degrees
With the nearest neighbours (Å) after each atom.
Positions (direct):
H (0.0737, 0.0737, 0.4834)  1 O 0.98
H (0.9263, 0.9263, 0.5166)  1 O 0.98
Pb (0.2141, 0.2141, 0.2785)  2 O 2.24-2.38
Pb (0.4914, 0.4914, 0.2347)  3 O 2.32-2.53
Pb (0.5086, 0.5086, 0.7653)  3 O 2.32-2.53
Pb (0.7859, 0.7859, 0.7215)  2 O 2.24-2.38
O (0.0449, 0.0449, 0.3273)  1 H 0.98
O (0.3122, 0.3122, 0.6353)  2 Pb 2.24-2.32
O (0.6878, 0.6878, 0.3647)  2 Pb 2.24-2.32
O (0.9551, 0.9551, 0.6727)  1 H 0.98

## Properties
ρ	7.5	g cm⁻³
final energy	-5.003	eV per atom


Entry 2:
This record from Alexandria describes a relaxed structure of Sr2TiBeO. The functional is PBE.

Cell lengths 6.3171, 6.3171, 3.7568 Å; angles 90.00, 90.00, 90.00 degrees
With the nearest neighbours (Å) after each atom.
Positions (direct):
Sr (0.0000, 0.5000, 0.0000)  2 Ti 3.16
Sr (0.5000, 0.0000, 0.0000)  2 Ti 3.16
Ti (0.0000, 0.0000, 0.0000)  2 O 1.88
Be (0.5000, 0.5000, 0.5000)  8 Sr 3.67, 2 Be 3.76
O (0.0000, 0.0000, 0.5000)  2 Ti 1.88

## Properties
ρ	2.7	g cm⁻³
ΔE_f (raw)	-0.359	eV per formula unit
final energy	-4.060	eV per atom


Entry 3:
This record from Alexandria describes a relaxed structure of MgCd3Ge. The functional is PBE.

Cell lengths 5.2954, 5.2954, 5.2954 Å; angles 90.00, 90.00, 90.00 degrees
With the nearest neighbours (Å) after each atom.
Positions (direct):
Mg (0.0000, 0.0000, 0.0000)  12 Cd 3.74
Cd (0.0000, 0.5000, 0.5000)  2 Ge 2.65
Cd (0.5000, 0.0000, 0.5000)  2 Ge 2.65
Cd (0.5000, 0.5000, 0.0000)  2 Ge 2.65
Ge (0.5000, 0.5000, 0.5000)  6 Cd 2.65

## Properties
ρ	4.9	g cm⁻³
final energy	-1.440	eV per atom
offset from the most stable computed form	0	meV per atom


Entry 4:
This record from Alexandria describes a relaxed structure of CoTc2Br. The functional is PBE.

Cell lengths 5.0334, 5.0334, 3.0027 Å; angles 102.70, 102.70, 118.74 degrees
With the nearest neighbours (Å) after each atom.
Positions (direct):
Co (0.0000, 0.0000, 0.0000)  2 Br 2.56, 4 Tc 2.63
Tc (0.0000, 0.5000, 0.5000)  2 Tc 2.56, 2 Co 2.63, 2 Br 2.63
Tc (0.5000, 0.0000, 0.5000)  2 Tc 2.56, 2 Co 2.63, 2 Br 2.63
Br (0.5000, 0.5000, 0.0000)  2 Co 2.56, 4 Tc 2.63

## Properties
ρ	9.2	g cm⁻³
ΔE_f (raw)	3.914	eV per formula unit
final energy	-6.399	eV per atom
offset from the most stable computed form	524	meV per atom


Entry 5:
This record from Alexandria describes a relaxed structure of CrCdFe2Rh. The functional is PBE.

Cell lengths 4.6360, 4.6360, 4.8447 Å; angles 90.00, 90.00, 90.00 degrees
With the nearest neighbours (Å) after each atom.
Positions (direct):
Cr (0.0000, 0.0000, 0.0000)  4 Rh 3.28, 8 Fe 3.35
Cd (0.5000, 0.5000, 0.5000)  4 Fe 2.32, 2 Rh 2.42
Fe (0.0000, 0.5000, 0.5000)  2 Cd 2.32
Fe (0.5000, 0.0000, 0.5000)  2 Cd 2.32
Rh (0.5000, 0.5000, 0.0000)  2 Cd 2.42

## Properties
ρ	6.0	g cm⁻³
final energy	-4.827	eV per atom


Entry 6:
This record from Alexandria describes a relaxed structure of BaTl2P2O7. The functional is PBE.

Cell lengths 8.2185, 8.2185, 8.2185 Å; angles 41.88, 41.88, 41.88 degrees
With the nearest neighbours (Å) after each atom.
Positions (direct):
Ba (0.0000, 0.0000, 0.0000)  6 O 2.73
Tl (0.1994, 0.1994, 0.1994)  3 O 2.69
Tl (0.8006, 0.8006, 0.8006)  3 O 2.69
P (0.4274, 0.4274, 0.4274)  4 O 1.54-1.63
P (0.5726, 0.5726, 0.5726)  4 O 1.54-1.63
O (0.1721, 0.3816, 0.6740)  1 P 1.54
O (0.3260, 0.6184, 0.8279)  1 P 1.54
O (0.3816, 0.6740, 0.1721)  1 P 1.54
O (0.5000, 0.5000, 0.5000)  2 P 1.63
O (0.6184, 0.8279, 0.3260)  1 P 1.54
O (0.6740, 0.1721, 0.3816)  1 P 1.54
O (0.8279, 0.3260, 0.6184)  1 P 1.54

## Properties
ρ	5.3	g cm⁻³
ΔE_f (raw)	-25.650	eV per formula unit
final energy	-6.486	eV per atom


Entry 7:
This record from Alexandria describes a relaxed structure of ZrMnNi2. The functional is PBE.

Cell lengths 4.2864, 4.2864, 4.2864 Å; angles 60.00, 60.00, 60.00 degrees
With the nearest neighbours (Å) after each atom.
Positions (direct):
Zr (0.0000, 0.0000, 0.0000)  4 Mn 2.62, 4 Ni 2.62
Mn (0.7500, 0.7500, 0.7500)  4 Ni 2.62, 4 Zr 2.62
Ni (0.2500, 0.2500, 0.2500)  4 Ni 2.62, 4 Zr 2.62
Ni (0.5000, 0.5000, 0.5000)  4 Mn 2.62, 4 Ni 2.62

## Properties
ρ	7.9	g cm⁻³
final energy	-7.445	eV per atom


Entry 8:
This record from Alexandria describes a relaxed structure of Cr2HgPb. The functional is PBE.

Cell lengths 3.4335, 3.3800, 7.1121 Å; angles 90.00, 90.06, 90.00 degrees
With the nearest neighbours (Å) after each atom.
Positions (direct):
Cr (0.0002, 0.0000, 0.2291)  4 Hg 2.91, 4 Pb 3.08-3.09
Cr (0.9998, 0.0000, 0.7709)  4 Hg 2.91, 4 Pb 3.08-3.09
Hg (0.5000, 0.5000, 0.0000)  8 Cr 2.91
Pb (0.5000, 0.5000, 0.5000)  8 Cr 3.08-3.09, 4 Pb 3.38-3.43

## Properties
ρ	10.3	g cm⁻³
final energy	-5.262	eV per atom
offset from the most stable computed form	178	meV per atom


Entry 9:
This record from Alexandria describes a relaxed structure of BaRe2Mo. The functional is PBE.

Cell lengths 5.8743, 5.8743, 5.8743 Å; angles 150.42, 126.94, 61.92 degrees
With the nearest neighbours (Å) after each atom.
Positions (direct):
Ba (0.0000, 0.0000, 0.0000)  2 Ba 3.00, 4 Mo 3.02, 4 Re 3.24
Re (0.2848, 0.7848, 0.5000)  2 Mo 2.64
Re (0.7152, 0.2152, 0.5000)  2 Mo 2.64
Mo (0.5000, 0.5000, 0.0000)  4 Re 2.64

## Properties
ρ	12.7	g cm⁻³
final energy	-8.121	eV per atom
offset from the most stable computed form	525	meV per atom


Entry 10:
This record from Alexandria describes a relaxed structure of ScP2SeO. The functional is PBE.

Cell lengths 5.1521, 5.1521, 3.8328 Å; angles 90.00, 90.00, 90.00 degrees
With the nearest neighbours (Å) after each atom.
Positions (direct):
Sc (0.0000, 0.0000, 0.0000)  2 O 1.92
P (0.0000, 0.5000, 0.0000)  2 Sc 2.58
P (0.5000, 0.0000, 0.0000)  2 Sc 2.58
Se (0.5000, 0.5000, 0.5000)  8 P 3.21
O (0.0000, 0.0000, 0.5000)  2 Sc 1.92

## Properties
ρ	3.3	g cm⁻³
ΔE_f (raw)	-0.749	eV per formula unit
final energy	-5.269	eV per atom
offset from the most stable computed form	0	meV per atom


Entry 11:
This record from Alexandria describes a relaxed structure of CrTeOs2. The functional is PBE.

Cell lengths 4.8866, 4.8866, 4.8866 Å; angles 132.53, 132.53, 69.40 degrees
With the nearest neighbours (Å) after each atom.
Positions (direct):
Cr (0.0000, 0.0000, 0.0000)  8 Os 2.78-2.81, 4 Te 2.81
Te (0.7500, 0.2500, 0.5000)  8 Os 2.78-2.81, 4 Cr 2.81
Os (0.2500, 0.7500, 0.5000)  4 Te 2.78, 4 Os 2.81, 4 Cr 2.81
Os (0.5000, 0.5000, 0.0000)  4 Cr 2.78, 4 Os 2.81, 4 Te 2.81

## Properties
ρ	15.0	g cm⁻³
ΔE_f (raw)	2.715	eV per formula unit
final energy	-8.127	eV per atom